Entry 1:
Ag2PdCl4: optimized geometry, PBE.

Summary:
As for the spin magnetization: 0.000 μB per formula unit.

a = 10.0219 Å, b = 8.3354 Å, c = 8.2553 Å
α = 90.00°, β = 90.00°, γ = 90.00°
Closest atoms and distances in Å follow each position.
Space group Cmce (No. 64)
Unique sites:
Ag: 0.2500 0.2186 0.2500 x8  4 Cl 2.63-2.76
Pd: 0.0000 0.0000 0.0000 x4  4 Cl 2.33
Cl: 0.0000 0.1980 0.8003 x8  1 Pd 2.33
Cl: 0.2322 0.0000 0.0000 x8  1 Pd 2.33

Entry 2:
AgPdCl5: optimized geometry, PBE.

Summary:
As for the spin magnetization: 0.000 μB per formula unit.

a = 9.4654 Å, b = 9.1755 Å, c = 9.4137 Å
α = 90.00°, β = 115.01°, γ = 90.00°
Closest atoms and distances in Å follow each position.
Space group C2/c (No. 15)
Unique sites:
Ag: 0.0000 0.0400 0.2500 x4  5 Cl 2.49-2.66
Pd: 0.2500 0.2500 0.0000 x4  6 Cl 2.34-2.54
Cl: 0.0000 0.2445 0.7500 x4  2 Pd 2.54, 1 Ag 2.61
Cl: 0.1050 0.2684 0.1484 x8  1 Pd 2.34
Cl: 0.2343 0.0048 0.5013 x8  1 Pd 2.34, 1 Ag 2.49

| no. | formation energy (no corrections) (eV per atom) | raw total energy (eV per atom) | energy relative to the lowest polymorph listed for this composition (meV per atom) |
| --- | --- | --- | --- |
| 1 | -0.448 | -3.060 | 0 |
| 2 | -0.352 | -2.820 | 0 |